# 1
Here is a geometry-optimized Co2SiTe structure from the Alexandria database. Energies are from PBE.

CIF file:
```
data_Co2SiTe
_chemical_formula_sum 'Co4 Si2 Te2'
_cell_length_a 3.6935
_cell_length_b 4.7619
_cell_length_c 6.6422
_cell_angle_alpha 90.00
_cell_angle_beta 90.00
_cell_angle_gamma 90.00
_space_group_name_H-M_alt 'I m m m'
_space_group_IT_number 71
_space_group_name_Hall '-I 2 2'
loop_
_atom_site_label
_atom_site_fract_x
_atom_site_fract_y
_atom_site_fract_z
Co1 0.0000 0.0000 0.2006
Si1 0.0000 0.5000 0.5000
Te1 0.0000 0.5000 0.0000
```

Properties
N(E_F): 4.38 states/eV/f.u.
ΔE_f (raw): 0.188 eV per atom
ΔE to the lowest computed polymorph: 231.5 meV per atom

# 2
Here is a geometry-optimized YErGaGe structure from the Alexandria database. Energies are from PBE.

CIF file:
```
data_YErGaGe
_chemical_formula_sum 'Y4 Er4 Ga4 Ge4'
_cell_length_a 7.1316
_cell_length_b 7.1316
_cell_length_c 7.1316
_cell_angle_alpha 90.00
_cell_angle_beta 90.00
_cell_angle_gamma 90.00
_space_group_name_H-M_alt 'F -4 3 m'
_space_group_IT_number 216
_space_group_name_Hall 'F -4 2 3'
loop_
_atom_site_label
_atom_site_fract_x
_atom_site_fract_y
_atom_site_fract_z
Y1 0.0000 0.0000 0.0000
Er1 0.0000 0.0000 0.5000
Ga1 0.2500 0.2500 0.2500
Ge1 0.2500 0.2500 0.7500
```

Properties
N(E_F): 2.77 states/eV/f.u.
energy of formation from the pure elements: -0.578 eV per atom
ΔE to the lowest computed polymorph: 224.6 meV per atom

# 3
Here is a geometry-optimized TbY2Pd structure from the Alexandria database. Energies are from PBE.

CIF file:
```
data_TbY2Pd
_chemical_formula_sum 'Tb4 Y8 Pd4'
_cell_length_a 7.0511
_cell_length_b 9.7413
_cell_length_c 6.5125
_cell_angle_alpha 90.00
_cell_angle_beta 90.00
_cell_angle_gamma 90.00
_space_group_name_H-M_alt 'P n m a'
_space_group_IT_number 62
_space_group_name_Hall '-P 2ac 2n'
loop_
_atom_site_label
_atom_site_fract_x
_atom_site_fract_y
_atom_site_fract_z
Tb1 0.0238 0.2500 0.1337
Y1 0.1802 0.0598 0.6762
Pd1 0.1117 0.7500 0.4454
```

Properties
N(E_F): 5.01 states/eV/f.u.
energy of formation from the pure elements: -0.469 eV per atom
ΔE to the lowest computed polymorph: 0.0 meV per atom

# 4
Here is a geometry-optimized Dy5AlPd4 structure from the Alexandria database. Energies are from PBE.

CIF file:
```
data_Dy5AlPd4
_chemical_formula_sum 'Dy5 Al1 Pd4'
_cell_length_a 3.5208
_cell_length_b 3.5208
_cell_length_c 17.7366
_cell_angle_alpha 90.00
_cell_angle_beta 90.00
_cell_angle_gamma 90.00
_space_group_name_H-M_alt 'P 4/m m m'
_space_group_IT_number 123
_space_group_name_Hall '-P 4 2'
loop_
_atom_site_label
_atom_site_fract_x
_atom_site_fract_y
_atom_site_fract_z
Dy1 0.0000 0.0000 0.0000
Dy2 0.0000 0.0000 0.1978
Dy3 0.0000 0.0000 0.3940
Al1 0.5000 0.5000 0.5000
Pd1 0.5000 0.5000 0.0991
Pd2 0.5000 0.5000 0.2975
```

Properties
N(E_F): 7.99 states/eV/f.u.
energy of formation from the pure elements: -0.785 eV per atom

# 5
Here is a geometry-optimized ScCr2Au structure from the Alexandria database. Energies are from PBE.

CIF file:
```
data_ScCr2Au
_chemical_formula_sum 'Sc2 Cr4 Au2'
_cell_length_a 10.0463
_cell_length_b 3.2240
_cell_length_c 4.4520
_cell_angle_alpha 90.00
_cell_angle_beta 113.20
_cell_angle_gamma 90.00
_space_group_name_H-M_alt 'C 1 2/m 1'
_space_group_IT_number 12
_space_group_name_Hall '-C 2y'
loop_
_atom_site_label
_atom_site_fract_x
_atom_site_fract_y
_atom_site_fract_z
Sc1 0.0000 0.0000 0.0000
Cr1 0.2461 0.0000 0.6665
Au1 0.0000 0.5000 0.5000
```

Properties
N(E_F): 4.38 states/eV/f.u.
energy of formation from the pure elements: 0.231 eV per atom
ΔE to the lowest computed polymorph: 275.0 meV per atom

# 6
Here is a geometry-optimized Mg2ScIn structure from the Alexandria database. Energies are from PBE.

CIF file:
```
data_Mg2ScIn
_chemical_formula_sum 'Mg2 Sc1 In1'
_cell_length_a 3.2172
_cell_length_b 3.2172
_cell_length_c 8.9856
_cell_angle_alpha 90.00
_cell_angle_beta 90.00
_cell_angle_gamma 90.00
_space_group_name_H-M_alt 'P 4/m m m'
_space_group_IT_number 123
_space_group_name_Hall '-P 4 2'
loop_
_atom_site_label
_atom_site_fract_x
_atom_site_fract_y
_atom_site_fract_z
Mg1 0.0000 0.0000 0.2443
Sc1 0.5000 0.5000 0.5000
In1 0.5000 0.5000 0.0000
```

Properties
N(E_F): 2.73 states/eV/f.u.
energy of formation from the pure elements: -0.089 eV per atom

# 7
Here is a geometry-optimized RbBP2 structure from the Alexandria database. Energies are from PBE.

CIF file:
```
data_RbBP2
_chemical_formula_sum 'Rb4 B4 P8'
_cell_length_a 5.3919
_cell_length_b 5.3919
_cell_length_c 11.9685
_cell_angle_alpha 90.00
_cell_angle_beta 90.00
_cell_angle_gamma 90.00
_space_group_name_H-M_alt 'I -4 2 d'
_space_group_IT_number 122
_space_group_name_Hall 'I -4 2bw'
loop_
_atom_site_label
_atom_site_fract_x
_atom_site_fract_y
_atom_site_fract_z
Rb1 0.0000 0.0000 0.0000
B1 0.0000 0.0000 0.5000
P1 0.0505 0.2500 0.6250
```

Properties
N(E_F): 0.10 states/eV/f.u.
energy of formation from the pure elements: 0.261 eV per atom

# 8
Here is a geometry-optimized ErGa2Pd2 structure from the Alexandria database. Energies are from PBE.

CIF file:
```
data_ErGa2Pd2
_chemical_formula_sum 'Er2 Ga4 Pd4'
_cell_length_a 4.8791
_cell_length_b 4.5314
_cell_length_c 8.5717
_cell_angle_alpha 90.00
_cell_angle_beta 100.76
_cell_angle_gamma 90.00
_space_group_name_H-M_alt 'P 1 21/m 1'
_space_group_IT_number 11
_space_group_name_Hall '-P 2yb'
loop_
_atom_site_label
_atom_site_fract_x
_atom_site_fract_y
_atom_site_fract_z
Er1 0.1894 0.2500 0.2686
Ga1 0.2495 0.2500 0.6359
Ga2 0.3637 0.7500 0.0271
Pd1 0.1101 0.2500 0.9064
Pd2 0.2974 0.7500 0.4810
```

Properties
N(E_F): 1.77 states/eV/f.u.
energy of formation from the pure elements: -0.769 eV per atom

# 9
Here is a geometry-optimized CrTcOs2Ru structure from the Alexandria database. Energies are from PBE.

CIF file:
```
data_CrTcOs2Ru
_chemical_formula_sum 'Cr1 Tc1 Os2 Ru1'
_cell_length_a 4.6222
_cell_length_b 4.6222
_cell_length_c 4.5554
_cell_angle_alpha 90.00
_cell_angle_beta 90.00
_cell_angle_gamma 90.00
_space_group_name_H-M_alt 'P 4/m m m'
_space_group_IT_number 123
_space_group_name_Hall '-P 4 2'
loop_
_atom_site_label
_atom_site_fract_x
_atom_site_fract_y
_atom_site_fract_z
Cr1 0.0000 0.0000 0.0000
Tc1 0.5000 0.5000 0.0000
Os1 0.0000 0.5000 0.5000
Ru1 0.5000 0.5000 0.5000
```

Properties
N(E_F): 11.11 states/eV/f.u.
energy of formation from the pure elements: 2.452 eV per atom

# 10
Here is a geometry-optimized Pm3Nd4Hg2 structure from the Alexandria database. Energies are from PBE.

CIF file:
```
data_Pm3Nd4Hg2
_chemical_formula_sum 'Pm3 Nd4 Hg2'
_cell_length_a 5.4602
_cell_length_b 6.9029
_cell_length_c 8.6085
_cell_angle_alpha 76.39
_cell_angle_beta 89.99
_cell_angle_gamma 66.73
_space_group_name_H-M_alt 'P -1'
_space_group_IT_number 2
_space_group_name_Hall '-P 1'
loop_
_atom_site_label
_atom_site_fract_x
_atom_site_fract_y
_atom_site_fract_z
Pm1 0.0000 0.0000 0.0000
Pm2 0.4190 0.1625 0.6501
Nd1 0.1239 0.7532 0.6550
Nd2 0.3302 0.3392 0.0482
Hg1 0.2019 0.5953 0.3162
```

Properties
N(E_F): 11.73 states/eV/f.u.
energy of formation from the pure elements: -0.184 eV per atom

# 11
Here is a geometry-optimized SrTl2Ge2 structure from the Alexandria database. Energies are from PBE.

CIF file:
```
data_SrTl2Ge2
_chemical_formula_sum 'Sr2 Tl4 Ge4'
_cell_length_a 8.6462
_cell_length_b 8.6462
_cell_length_c 3.6539
_cell_angle_alpha 90.00
_cell_angle_beta 90.00
_cell_angle_gamma 90.00
_space_group_name_H-M_alt 'P 4/m b m'
_space_group_IT_number 127
_space_group_name_Hall '-P 4 2ab'
loop_
_atom_site_label
_atom_site_fract_x
_atom_site_fract_y
_atom_site_fract_z
Sr1 0.0000 0.0000 0.0000
Tl1 0.1289 0.3711 0.0000
Ge1 0.1677 0.6677 0.5000
```

Properties
N(E_F): 2.44 states/eV/f.u.
energy of formation from the pure elements: 0.006 eV per atom

# 12
Here is a geometry-optimized BiRhSe2N structure from the Alexandria database. Energies are from PBE.

CIF file:
```
data_BiRhSe2N
_chemical_formula_sum 'Bi1 Rh1 Se2 N1'
_cell_length_a 5.2115
_cell_length_b 5.2115
_cell_length_c 3.7087
_cell_angle_alpha 90.00
_cell_angle_beta 90.00
_cell_angle_gamma 90.00
_space_group_name_H-M_alt 'P 4/m m m'
_space_group_IT_number 123
_space_group_name_Hall '-P 4 2'
loop_
_atom_site_label
_atom_site_fract_x
_atom_site_fract_y
_atom_site_fract_z
Bi1 0.0000 0.0000 0.0000
Rh1 0.5000 0.5000 0.5000
Se1 0.0000 0.5000 0.5000
N1 0.5000 0.5000 0.0000
```

Properties
N(E_F): 3.12 states/eV/f.u.
ΔE_f (raw): 0.231 eV per atom
ΔE to the lowest computed polymorph: 0.0 meV per atom

Question: Which of these has the highest N(E_F)?
Answer: Pm3Nd4Hg2

Question: N(E_F) of number 10 (Pm3Nd4Hg2)?
Answer: 11.73 states/eV/f.u.